No. 1
Density functional theory data (PBE) for crystalline LiMg2InN at its relaxed geometry.

It has space group P4/mmm (No. 123), with a = 4.2609 Å, b = 4.2609 Å, c = 4.5397 Å, α = 90.00°, β = 90.00° and γ = 90.00°. The asymmetric unit holds Li at (0.0000, 0.0000, 0.0000), Mg at (0.0000, 0.5000, 0.5000), In at (0.5000, 0.5000, 0.0000) and N at (0.0000, 0.0000, 0.5000).

The total energy is -3.533 eV/atom.

No. 2
Density functional theory data (PBE) for crystalline Li2MgInN at its relaxed geometry.

It has space group P4/mmm (No. 123), with a = 4.3334 Å, b = 4.3334 Å, c = 4.1421 Å, α = 90.00°, β = 90.00° and γ = 90.00°. The asymmetric unit holds Li at (0.0000, 0.5000, 0.0000), Mg at (0.0000, 0.0000, 0.5000), In at (0.5000, 0.5000, 0.5000) and N at (0.0000, 0.0000, 0.0000).

The total energy is -3.518 eV/atom.

No. 3
Density functional theory data (PBE) for crystalline Na2Li2MgIn5 at its relaxed geometry.

It has space group P4/mbm (No. 127), with a = 11.3327 Å, b = 11.3327 Å, c = 3.7668 Å, α = 90.00°, β = 90.00° and γ = 90.00°. The asymmetric unit holds Na at (0.1790, 0.3210, 0.0000), Li at (0.1253, 0.6253, 0.0000), Mg at (0.0000, 0.0000, 0.0000), In at (0.0000, 0.5000, 0.5000) and In at (0.0504, 0.7976, 0.5000).

As for the formation energy: -0.1163 eV per atom.

No. 4
Density functional theory data (PBE) for crystalline NaLiMgIn at its relaxed geometry.

It has space group F-43m (No. 216), with a = 7.1409 Å, b = 7.1409 Å, c = 7.1409 Å, α = 90.00°, β = 90.00° and γ = 90.00°. The asymmetric unit holds Na at (0.0000, 0.0000, 0.0000), Li at (0.2500, 0.2500, 0.2500), Mg at (0.2500, 0.2500, 0.7500) and In at (0.0000, 0.0000, 0.5000).

As for the formation energy: -0.1352 eV per atom.

No. 5
Density functional theory data (PBE) for crystalline Li2NdMg2In2 at its relaxed geometry.

It has space group C2/m (No. 12), with a = 8.3435 Å, b = 4.7975 Å, c = 8.7157 Å, α = 90.00°, β = 108.43° and γ = 90.00°. The asymmetric unit holds Li at (0.0728, 0.0000, 0.2172), Nd at (0.0000, 0.5000, 0.5000), Mg at (0.1358, 0.5000, 0.9081) and In at (0.2405, 0.0000, 0.7222).

As for the formation energy: -0.2731 eV per atom.

No. 6
Density functional theory data (PBE) for crystalline LiNdMg2In4 at its relaxed geometry.

It has space group R-3m (No. 166, hexagonal axes), with a = 5.0394 Å, b = 5.0394 Å, c = 26.2455 Å, α = 90.00°, β = 90.00° and γ = 120.00°. The asymmetric unit holds Li at (0.0000, 0.0000, 0.0000), Nd at (0.0000, 0.0000, 0.5000), Mg at (0.0000, 0.0000, 0.2499), In at (0.0000, 0.0000, 0.1119) and In at (0.0000, 0.0000, 0.3693).

As for the formation energy: -0.2714 eV per atom.

No. 7
Density functional theory data (PBE) for crystalline Li2NdMgIn2 at its relaxed geometry.

It has space group P-3m1 (No. 164), with a = 4.8479 Å, b = 4.8479 Å, c = 6.8505 Å, α = 90.00°, β = 90.00° and γ = 120.00°. The asymmetric unit holds Li at (0.3333, 0.6667, 0.3080), Nd at (0.0000, 0.0000, 0.0000), Mg at (0.0000, 0.0000, 0.5000) and In at (0.3333, 0.6667, 0.7520).

As for the formation energy: -0.3098 eV per atom.

No. 8
Density functional theory data (PBE) for crystalline LiNdMgIn2 at its relaxed geometry.

It has space group Pmma (No. 51), with a = 5.7771 Å, b = 6.5117 Å, c = 6.5264 Å, α = 90.00°, β = 90.00° and γ = 90.00°. The asymmetric unit holds Li at (0.0000, 0.0000, 0.0000), Nd at (0.2500, 0.5000, 0.2127), Mg at (0.2500, 0.0000, 0.3634) and In at (0.2500, 0.2621, 0.7236).

As for the formation energy: -0.2428 eV per atom.